The following is a DFT calculation (PBE-GGA) of crystalline Nd2Y5Er2 at its relaxed geometry.

The space group is Ima2 (No. 46) and the conventional cell measures 14.9696, 11.8256 and 6.7863 Å, with angles of 90.00, 90.00 and 90.00 degrees. The inequivalent atoms are Nd at (0.0000, 0.0000, 0.0000), Nd at (0.2500, 0.0093, 0.9006), Y at (0.0522, 0.7443, 0.3064), Y at (0.1427, 0.2350, 0.1151), Y at (0.2500, 0.7483, 0.1125) and Er at (0.1270, 0.5034, 0.9523).

For the uncorrected energy, the calculation gives -5.436 eV/atom. For the density of states at the Fermi level, the calculation gives 1.6066 states/eV per atom. The theoretical density comes out at 5902 kg/m3. For the energy relative to the elements, the calculation gives 2.1 eV per formula unit. For the magnetization, the calculation gives 0.00 μB per formula unit.